Density functional theory data (GGA-PBE) for a relaxed structure of ZrIr4Cl.

## Properties
* E_tot: -7.465 eV per atom
* space group: F-43m, No. 216

a b c (Å): 5.2696 5.2696 5.2696
angles (deg): 60.00 60.00 60.00
Atoms (fractional coordinates):
Zr 0.7500 0.7500 0.7500
Ir 0.8741 0.3753 0.3753
Ir 0.3753 0.3753 0.8741
Ir 0.3753 0.8741 0.3753
Ir 0.3753 0.3753 0.3753
Cl 0.0000 0.0000 0.0000

---

Density functional theory data (GGA-PBE) for a relaxed structure of ZrIr3Cl.

## Properties
* E_tot: -5.521 eV per atom
* space group: Pm-3m, No. 221

a b c (Å): 4.9754 4.9754 4.9754
angles (deg): 90.00 90.00 90.00
Site moments in Bohr magnetons follow the coordinates.
Atoms (fractional coordinates):
Ir 0.0000 0.5000 0.0000  0.85
Ir 0.0000 0.0000 0.5000  0.82
Ir 0.5000 0.0000 0.0000  0.56
Zr 0.0000 0.0000 0.0000  -0.12
Cl 0.5000 0.5000 0.5000  0.21

---

Density functional theory data (GGA-PBE) for a relaxed structure of ZrIrCl4.

## Properties
* E_tot: -3.252 eV per atom
* space group: F-43m, No. 216

a b c (Å): 5.5212 5.5212 5.5212
angles (deg): 60.00 60.00 60.00
Site moments in Bohr magnetons follow the coordinates.
Atoms (fractional coordinates):
Zr 0.0000 0.0000 0.0000  -0.24
Ir 0.7500 0.7500 0.7500  1.34
Cl 0.8752 0.3749 0.3749  -0.12
Cl 0.3749 0.3749 0.8752  -0.12
Cl 0.3749 0.8752 0.3749  -0.12
Cl 0.3749 0.3749 0.3749  -0.12

---

Density functional theory data (GGA-PBE) for a relaxed structure of KCl4.

## Properties
* E_tot: -2.123 eV per atom
* space group: I4/mmm, No. 139

a b c (Å): 6.3526 6.3526 6.3526
angles (deg): 125.91 125.91 80.03
Site moments in Bohr magnetons follow the coordinates.
Atoms (fractional coordinates):
K 0.0000 0.0000 0.0000  0.00
Cl 0.7500 0.2500 0.5000  0.24
Cl 0.2500 0.7500 0.5000  0.24
Cl 0.6014 0.6014 0.0000  0.14
Cl 0.3986 0.3986 0.0000  0.14

---

Density functional theory data (GGA-PBE) for a relaxed structure of KCl2.

## Properties
* E_tot: -2.645 eV per atom
* space group: P6_3/mmc, No. 194

a b c (Å): 5.8351 5.8351 5.8190
angles (deg): 90.00 90.00 120.00
Site moments in Bohr magnetons follow the coordinates.
Atoms (fractional coordinates):
K 0.6667 0.3333 0.2500  0.00
K 0.3333 0.6667 0.7500  0.00
Cl 0.0000 0.0000 0.0000  0.11
Cl 0.0000 0.0000 0.5000  0.11
Cl 0.3333 0.6667 0.2500  0.23
Cl 0.6667 0.3333 0.7500  0.23

---

Density functional theory data (GGA-PBE) for a relaxed structure of K4Cl.

## Properties
* E_tot: -1.908 eV per atom
* space group: I4/m, No. 87

a b c (Å): 8.2572 8.2572 8.2572
angles (deg): 93.64 93.64 150.83
Atoms (fractional coordinates):
K 0.2589 0.4523 0.7112
K 0.5477 0.2589 0.8067
K 0.7411 0.5477 0.2888
K 0.4523 0.7411 0.1933
Cl 0.0000 0.0000 0.0000

---

Density functional theory data (GGA-PBE) for a relaxed structure of KCl4.

## Properties
* E_tot: -1.700 eV per atom
* space group: Pm-3m, No. 221

a b c (Å): 6.0576 6.0576 6.0576
angles (deg): 90.00 90.00 90.00
Site moments in Bohr magnetons follow the coordinates.
Atoms (fractional coordinates):
K 0.5000 0.5000 0.5000  0.00
Cl 0.0000 0.0000 0.0000  0.71
Cl 0.5000 0.0000 0.5000  0.50
Cl 0.0000 0.5000 0.5000  0.50
Cl 0.5000 0.5000 0.0000  0.50

---

Density functional theory data (GGA-PBE) for a relaxed structure of KCl4.

## Properties
* E_tot: -1.872 eV per atom
* space group: Im-3m, No. 229

a b c (Å): 6.0921 6.0921 6.0921
angles (deg): 109.47 109.47 109.47
Site moments in Bohr magnetons follow the coordinates.
Atoms (fractional coordinates):
K 0.0000 0.0000 0.0000  0.00
Cl 0.5000 0.0000 0.0000  0.59
Cl 0.5000 0.5000 0.5000  0.59
Cl 0.0000 0.5000 0.0000  0.59
Cl 0.0000 0.0000 0.5000  0.59

---

Density functional theory data (GGA-PBE) for a relaxed structure of K3Cl.

## Properties
* E_tot: -1.834 eV per atom
* space group: Pm-3n, No. 223

a b c (Å): 7.4591 7.4591 7.4591
angles (deg): 90.00 90.00 90.00
Atoms (fractional coordinates):
K 0.7500 0.5000 0.0000
K 0.2500 0.5000 0.0000
K 0.0000 0.7500 0.5000
K 0.0000 0.2500 0.5000
K 0.5000 0.0000 0.2500
K 0.5000 0.0000 0.7500
Cl 0.0000 0.0000 0.0000
Cl 0.5000 0.5000 0.5000

---

Density functional theory data (GGA-PBE) for a relaxed structure of KCl3.

## Properties
* E_tot: -2.525 eV per atom
* space group: Pmm2, No. 25

a b c (Å): 4.4221 7.4854 4.3579
angles (deg): 90.00 90.00 90.00
Site moments in Bohr magnetons follow the coordinates.
Atoms (fractional coordinates):
K 0.0000 0.5000 0.3058  0.00
Cl 0.0000 0.0000 0.2085  0.00
Cl 0.5000 0.0000 0.3462  0.00
Cl 0.5000 0.5000 0.8062  0.09

---

Density functional theory data (GGA-PBE) for a relaxed structure of KCl4.

## Properties
* E_tot: -2.413 eV per atom
* space group: I4/mmm, No. 139

a b c (Å): 6.5479 6.5479 6.5479
angles (deg): 97.87 97.87 136.57
Atoms (fractional coordinates):
Cl 0.7434 0.2571 0.0005
Cl 0.2571 0.2566 0.5137
Cl 0.2566 0.7429 0.9995
Cl 0.7429 0.7434 0.4863
K 0.0000 0.0000 0.0000

---

Density functional theory data (GGA-PBE) for a relaxed structure of K3Cl.

## Properties
* E_tot: -1.930 eV per atom
* space group: Pm-3m, No. 221

a b c (Å): 5.8433 5.8433 5.8433
angles (deg): 90.00 90.00 90.00
Atoms (fractional coordinates):
K 0.0000 0.5000 0.5000
K 0.5000 0.0000 0.5000
K 0.5000 0.5000 0.0000
Cl 0.0000 0.0000 0.0000

---

Density functional theory data (GGA-PBE) for a relaxed structure of KCl3.

## Properties
* E_tot: -2.303 eV per atom
* space group: I4/mmm, No. 139

a b c (Å): 16.2318 16.2318 16.2318
angles (deg): 166.06 166.06 19.77
Site moments in Bohr magnetons follow the coordinates.
Atoms (fractional coordinates):
K 0.3424 0.3424 0.0000  0.00
K 0.6576 0.6576 0.0000  0.00
Cl 0.0000 0.5000 0.5000  0.00
Cl 0.5000 0.0000 0.5000  0.00
Cl 0.2500 0.7500 0.5000  0.00
Cl 0.7500 0.2500 0.5000  0.00
Cl 0.1241 0.1241 0.0000  0.18
Cl 0.8759 0.8759 0.0000  0.18

---

Density functional theory data (GGA-PBE) for a relaxed structure of K3Cl.

## Properties
* E_tot: -1.833 eV per atom
* space group: Fm-3m, No. 225

a b c (Å): 6.6393 6.6393 6.6393
angles (deg): 60.00 60.00 60.00
Atoms (fractional coordinates):
K 0.2500 0.2500 0.2500
K 0.5000 0.5000 0.5000
K 0.7500 0.7500 0.7500
Cl 0.0000 0.0000 0.0000

---

Density functional theory data (GGA-PBE) for a relaxed structure of KCl2.

## Properties
* E_tot: -2.891 eV per atom
* space group: C2/m, No. 12

a b c (Å): 4.8521 4.8521 11.4087
angles (deg): 71.66 71.66 58.69
Atoms (fractional coordinates):
K 0.0487 0.0487 0.5585
K 0.2291 0.2291 0.8860
Cl 0.8336 0.8336 0.0204
Cl 0.4442 0.4442 0.4240
Cl 0.6388 0.6388 0.7223
Cl 0.6389 0.6389 0.2221

---

Density functional theory data (GGA-PBE) for a relaxed structure of KCl3.

## Properties
* E_tot: -2.539 eV per atom
* space group: Cmcm, No. 63

a b c (Å): 9.9904 9.9904 4.9661
angles (deg): 90.00 90.00 118.53
Atoms (fractional coordinates):
K 0.1692 0.8308 0.2500
K 0.8308 0.1692 0.7500
Cl 0.0075 0.9925 0.7500
Cl 0.9925 0.0075 0.2500
Cl 0.0076 0.5149 0.7500
Cl 0.9924 0.4851 0.2500
Cl 0.4851 0.9924 0.7500
Cl 0.5149 0.0076 0.2500

---

Density functional theory data (GGA-PBE) for a relaxed structure of KCl2.

## Properties
* E_tot: -2.647 eV per atom
* space group: P4/mmm, No. 123

a b c (Å): 4.6249 4.6249 4.4923
angles (deg): 90.00 90.00 90.00
Site moments in Bohr magnetons follow the coordinates.
Atoms (fractional coordinates):
K 0.0000 0.0000 0.0000  0.00
Cl 0.0000 0.5000 0.5000  0.39
Cl 0.5000 0.0000 0.5000  0.39

---

Density functional theory data (GGA-PBE) for a relaxed structure of KCl2.

## Properties
* E_tot: -2.721 eV per atom
* space group: Pa-3, No. 205

a b c (Å): 7.5422 7.5422 7.5422
angles (deg): 90.00 90.00 90.00
Site moments in Bohr magnetons follow the coordinates.
Atoms (fractional coordinates):
K 0.0000 0.0000 0.0000  0.00
K 0.5000 0.5000 0.0000  0.00
K 0.5000 0.0000 0.5000  0.00
K 0.0000 0.5000 0.5000  0.00
Cl 0.6003 0.6003 0.3997  0.38
Cl 0.3997 0.3997 0.6003  0.38
Cl 0.1003 0.8997 0.6003  0.38
Cl 0.8997 0.1003 0.3997  0.38
Cl 0.3997 0.1003 0.1003  0.38
Cl 0.6003 0.8997 0.8997  0.38
Cl 0.8997 0.3997 0.8997  0.38
Cl 0.1003 0.6003 0.1003  0.38

---

Density functional theory data (GGA-PBE) for a relaxed structure of K3Cl2.

## Properties
* E_tot: -2.850 eV per atom
* space group: R-3c, No. 167

a b c (Å): 7.8300 7.8300 8.9328
angles (deg): 64.01 64.01 60.00
Atoms (fractional coordinates):
K 0.0722 0.7500 0.7500
K 0.7500 0.4278 0.7500
K 0.4278 0.0722 0.7500
K 0.2500 0.5722 0.2500
K 0.5722 0.9278 0.2500
K 0.9278 0.2500 0.2500
Cl 0.8375 0.8375 0.4874
Cl 0.3375 0.3375 0.9874
Cl 0.1625 0.1625 0.5126
Cl 0.6625 0.6625 0.0126

---

Density functional theory data (GGA-PBE) for a relaxed structure of KCl3.

## Properties
* E_tot: -2.330 eV per atom
* space group: Cmcm, No. 63

a b c (Å): 6.6167 6.6167 6.0572
angles (deg): 90.00 90.00 99.21
Site moments in Bohr magnetons follow the coordinates.
Atoms (fractional coordinates):
K 0.6645 0.3355 0.7500  0.00
K 0.3355 0.6645 0.2500  0.00
Cl 0.1971 0.8029 0.7500  0.68
Cl 0.8029 0.1971 0.2500  0.68
Cl 0.5942 0.8325 0.7500  0.43
Cl 0.4058 0.1675 0.2500  0.43
Cl 0.8325 0.5942 0.2500  0.43
Cl 0.1675 0.4058 0.7500  0.43

---

Density functional theory data (GGA-PBE) for a relaxed structure of KCl4.

## Properties
* E_tot: -2.253 eV per atom
* space group: C2/m, No. 12

a b c (Å): 4.1198 6.7791 9.5520
angles (deg): 134.50 90.00 107.69
Atoms (fractional coordinates):
K 0.0000 0.0000 0.0000
Cl 0.2472 0.4943 0.8678
Cl 0.7528 0.5057 0.1322
Cl 0.2476 0.4953 0.6270
Cl 0.7524 0.5047 0.3730

---

Density functional theory data (GGA-PBE) for a relaxed structure of KCl3.

## Properties
* E_tot: -2.414 eV per atom
* space group: P-6m2, No. 187

a b c (Å): 5.9878 5.9878 5.8796
angles (deg): 90.00 90.00 120.00
Site moments in Bohr magnetons follow the coordinates.
Atoms (fractional coordinates):
K 0.6667 0.3333 0.7500  0.00
Cl 0.0000 0.0000 0.9230  0.00
Cl 0.0000 0.0000 0.5770  0.00
Cl 0.6667 0.3333 0.2500  0.09

---

Density functional theory data (GGA-PBE) for a relaxed structure of KCl3.

## Properties
* E_tot: -2.351 eV per atom
* space group: Pm-3n, No. 223

a b c (Å): 5.7832 5.7832 5.7832
angles (deg): 90.00 90.00 90.00
Atoms (fractional coordinates):
K 0.0000 0.0000 0.0000
K 0.5000 0.5000 0.5000
Cl 0.7500 0.5000 0.0000
Cl 0.2500 0.5000 0.0000
Cl 0.0000 0.7500 0.5000
Cl 0.0000 0.2500 0.5000
Cl 0.5000 0.0000 0.2500
Cl 0.5000 0.0000 0.7500

---

Density functional theory data (GGA-PBE) for a relaxed structure of K3Cl.

## Properties
* E_tot: -2.169 eV per atom
* space group: Pmm2, No. 25

a b c (Å): 4.3481 4.1685 11.7220
angles (deg): 90.00 90.00 90.00
Atoms (fractional coordinates):
K 0.5000 0.0000 0.5365
K 0.5000 0.5000 0.9039
K 0.0000 0.5000 0.2200
Cl 0.0000 0.0000 0.0062

---

Density functional theory data (GGA-PBE) for a relaxed structure of KCl3.

## Properties
* E_tot: -2.284 eV per atom
* space group: I4/mmm, No. 139

a b c (Å): 8.0112 8.0112 8.0112
angles (deg): 150.51 150.51 42.19
Site moments in Bohr magnetons follow the coordinates.
Atoms (fractional coordinates):
K 0.0000 0.0000 0.0000  0.00
Cl 0.7500 0.2500 0.5000  0.00
Cl 0.2500 0.7500 0.5000  0.00
Cl 0.5000 0.5000 0.0000  0.12

---

Density functional theory data (GGA-PBE) for a relaxed structure of K3Cl.

## Properties
* E_tot: -1.873 eV per atom
* space group: R-3m, No. 166

a b c (Å): 7.3143 7.3143 7.3143
angles (deg): 115.74 115.74 115.74
Atoms (fractional coordinates):
K 0.0000 0.5000 0.5000
K 0.5000 0.0000 0.5000
K 0.5000 0.5000 0.0000
Cl 0.0000 0.0000 0.0000

---

Density functional theory data (GGA-PBE) for a relaxed structure of K3Cl.

## Properties
* E_tot: -2.212 eV per atom
* space group: C2/m, No. 12

a b c (Å): 4.5593 4.5593 11.9822
angles (deg): 79.24 79.24 60.05
Atoms (fractional coordinates):
K 0.5000 0.5000 0.5000
K 0.7193 0.7193 0.8407
K 0.2807 0.2807 0.1593
Cl 0.0000 0.0000 0.0000

---

Density functional theory data (GGA-PBE) for a relaxed structure of KCl2.

## Properties
* E_tot: -2.752 eV per atom
* space group: I4_1/amd, No. 141

a b c (Å): 8.6212 8.6212 8.6212
angles (deg): 144.96 144.96 50.40
Atoms (fractional coordinates):
K 0.2500 0.7500 0.5000
K 0.5000 0.5000 0.0000
Cl 0.6222 0.1222 0.5000
Cl 0.1278 0.1278 0.0000
Cl 0.8778 0.3778 0.5000
Cl 0.8722 0.8722 0.0000